# 1
5
Lattice="3.625 0.000 0.000 0.000 3.625 0.000 1.813 1.813 9.941" Properties=species:S:1:pos:R:3 comment="TaTl2Se2 | Alexandria | PBE | optimized geometry" crystal_system=tetragonal e_form_raw_mev_per_atom=662 polymorph_energy_kj_per_mol_atoms=0.0 dos_ef_per_ev_fu=5.01 pbc="T T T"
Tl 3.625 3.625 8.272
Tl 1.813 1.813 1.669
Ta 0.000 0.000 0.000
Se 3.625 1.813 4.970
Se 1.813 3.625 4.970


# 2
4
Lattice="-0.045 3.959 -4.802 -2.350 -0.906 -5.691 -0.702 0.195 6.181" Properties=species:S:1:pos:R:3 comment="Ta2TlSe | Alexandria | PBE | optimized geometry" crystal_system=orthorhombic e_form_raw_mev_per_atom=303 polymorph_energy_kj_per_mol_atoms=30.9 dos_ef_per_ev_fu=2.28 pbc="T T T"
Ta -2.309 2.942 -10.113
Ta -2.055 0.317 -2.070
Se -1.051 2.940 -2.280
Tl -1.276 1.626 -5.590


# 3
15
Lattice="-3.002 6.527 -3.522 -2.919 -2.451 7.035 8.291 3.957 0.267" Properties=species:S:1:pos:R:3 comment="Tm3TaTl3Se8 | Alexandria | PBE | optimized geometry" crystal_system=trigonal e_form_raw_mev_per_atom=-1204 dos_ef_per_ev_fu=4.07 pbc="T T T"
Se 0.117 6.226 -2.475
Se 0.659 5.273 4.385
Se -1.433 4.925 1.260
Se 0.115 1.607 2.881
Se 1.711 2.761 -0.605
Se 2.255 6.426 0.900
Se 3.803 3.109 2.520
Se 2.252 1.807 6.255
Tm 2.645 5.242 -1.627
Tm 1.185 4.017 1.890
Tm 2.686 0.753 3.651
Tl -1.460 -1.225 3.517
Tl 0.000 0.000 0.000
Tl -2.960 2.038 1.756
Ta 4.145 1.978 0.134


# 4
11
Lattice="-2.131 0.173 6.034 4.443 -4.362 -1.485 5.412 6.389 0.878" Properties=species:S:1:pos:R:3 comment="UTa2Tl2Se6 | Alexandria | PBE | optimized geometry" crystal_system=monoclinic e_form_raw_mev_per_atom=-724 dos_ef_per_ev_fu=6.60 pbc="T T T"
Tl 3.304 -3.576 -0.182
Tl -0.991 -0.613 4.731
Se 2.169 0.601 1.534
Se 2.302 -0.405 5.152
Se 3.044 4.246 2.995
Se 5.556 1.599 3.893
Se 5.422 2.605 0.275
Se 4.681 -2.046 2.431
Ta 2.981 1.708 3.721
Ta 4.744 0.492 1.705
U 2.706 3.195 0.439


# 5
15
Lattice="-5.261 0.580 -6.119 2.738 -7.254 2.307 -6.100 3.998 5.624" Properties=species:S:1:pos:R:3 comment="Y3TaTl3Se8 | Alexandria | PBE | optimized geometry" crystal_system=trigonal e_form_raw_mev_per_atom=-1215 dos_ef_per_ev_fu=4.39 pbc="T T T"
Tl 0.000 0.000 0.000
Tl -1.262 -3.337 -1.906
Tl 1.369 -3.627 1.154
Y -5.681 2.289 -0.247
Y -1.681 -1.628 3.966
Y -4.312 -1.338 0.906
Se -4.424 -2.401 -1.772
Se -3.068 1.187 0.277
Se -5.555 -3.862 1.536
Se -6.892 -0.166 0.561
Se -5.896 1.499 -3.012
Se -1.732 -2.509 1.251
Se -2.727 -4.174 4.825
Se -4.199 -0.275 3.584
Ta -3.050 1.999 2.812


# 6
5
Lattice="4.823 0.000 0.000 0.000 5.516 0.000 0.000 0.000 4.823" Properties=species:S:1:pos:R:3 comment="TaTlZn2Se | Alexandria | PBE | optimized geometry" crystal_system=tetragonal e_form_raw_mev_per_atom=1205 dos_ef_per_ev_fu=4.09 pbc="T T T"
Se 2.411 2.758 2.411
Ta 0.000 2.758 0.000
Zn 0.000 0.000 2.411
Zn 2.411 0.000 0.000
Tl 0.000 0.000 0.000


# 7
11
Lattice="-4.657 4.387 -0.216 -1.422 -6.163 0.991 2.225 1.592 7.949" Properties=species:S:1:pos:R:3 comment="ZrTa2Tl2Se6 | Alexandria | PBE | optimized geometry" crystal_system=monoclinic e_form_raw_mev_per_atom=-785 dos_ef_per_ev_fu=3.83 pbc="T T T"
Se 0.756 -1.194 5.795
Se -0.401 2.580 5.363
Se -4.610 1.010 2.928
Se -2.823 -0.146 6.291
Se -3.453 -2.763 3.360
Se -1.031 -0.038 2.432
Ta -1.503 -1.476 4.520
Ta -2.351 1.292 4.203
Zr 1.113 0.796 3.974
Tl -4.089 2.533 -0.004
Tl -1.990 -4.309 0.779


# 8
6
Lattice="-2.353 2.309 -0.741 -0.904 -3.199 0.608 -1.258 2.734 12.515" Properties=species:S:1:pos:R:3 comment="TmTaSe | Alexandria | PBE | optimized geometry" crystal_system=hexagonal e_form_raw_mev_per_atom=-483 dos_ef_per_ev_fu=1.62 pbc="T T T"
Ta -1.785 0.231 6.390
Ta -1.638 0.701 -0.318
Tm -1.395 -0.616 2.510
Tm -2.174 1.080 10.269
Se -2.440 2.440 7.647
Se -2.097 1.694 4.233


# 9
9
Lattice="4.866 0.000 0.000 2.433 6.391 -0.195 2.433 2.451 7.911" Properties=species:S:1:pos:R:3 comment="TmTa2Se6 | Alexandria | PBE | optimized geometry" crystal_system=monoclinic e_form_raw_mev_per_atom=-804 dos_ef_per_ev_fu=4.80 pbc="T T T"
Se 4.866 2.908 3.127
Se 7.299 5.810 1.405
Se 4.866 5.933 4.588
Se 2.433 2.337 0.406
Se 7.299 6.505 7.310
Se 2.433 3.031 6.310
Tm 2.433 4.421 3.858
Ta 4.866 7.045 6.821
Ta 4.866 1.797 0.895


# 10
13
Lattice="6.230 0.000 -3.361 -4.021 5.826 0.000 0.283 0.196 7.978" Properties=species:S:1:pos:R:3 comment="TmTa4Se8 | Alexandria | PBE | optimized geometry" crystal_system=trigonal e_form_raw_mev_per_atom=-864 dos_ef_per_ev_fu=5.47 pbc="T T T"
Se -0.904 1.461 1.937
Se 2.356 1.627 4.367
Se 3.396 4.560 2.680
Se 5.468 1.559 2.680
Se -2.977 4.462 1.937
Se 0.135 4.394 0.250
Se 0.376 4.561 4.309
Se 2.115 1.460 0.307
Ta 1.104 2.913 -1.681
Ta 3.115 0.000 -1.681
Ta 0.000 0.000 0.000
Ta -1.728 3.108 7.978
Tm -1.869 3.011 3.989